1.
{
  "formula": "Pa5Cd",
  "functional": "GGA-PBE",
  "state": "relaxed",
  "lattice_angstrom": [[3.1045, 0.0000, 0.0000], [0.0000, 3.1045, 0.0000], [0.0000, 0.0000, 15.2885]],
  "species": ["Pa", "Pa", "Pa", "Pa", "Pa", "Cd"],
  "fractional_positions": [[0.0000, 0.0000, 0.6692], [0.5000, 0.5000, 0.8353], [0.0000, 0.0000, 0.0000], [0.5000, 0.5000, 0.1647], [0.0000, 0.0000, 0.3308], [0.5000, 0.5000, 0.5000]],
  "total_magnetization_mub_per_cell": 0.000,
  "space_group": "P4/mmm, No. 123",
  "delta_e_f_ev_per_atom": 0.056
}

=====

2.
{
  "formula": "Pa6Cd",
  "functional": "GGA-PBE",
  "state": "relaxed",
  "lattice_angstrom": [[6.6734, 0.0000, 0.0000], [-2.2245, 6.2917, 0.0000], [-2.2245, -3.1459, 5.4488]],
  "species": ["Pa", "Pa", "Pa", "Pa", "Pa", "Pa", "Cd"],
  "fractional_positions": [[0.2500, 0.7500, 0.5000], [0.5000, 0.7500, 0.2500], [0.2500, 0.5000, 0.7500], [0.7500, 0.2500, 0.5000], [0.5000, 0.2500, 0.7500], [0.7500, 0.5000, 0.2500], [0.0000, 0.0000, 0.0000]],
  "total_magnetization_mub_per_cell": 6.915,
  "space_group": "Im-3m, No. 229",
  "delta_e_f_ev_per_atom": 1.638
}

=====

3.
{
  "formula": "PaCd3",
  "functional": "GGA-PBE",
  "state": "relaxed",
  "lattice_angstrom": [[-1.0868, 2.2385, -1.7526], [2.6252, -1.9094, -4.0667], [-4.7908, -3.4712, -1.4629]],
  "species": ["Pa", "Cd", "Cd", "Cd"],
  "fractional_positions": [[0.0000, 0.5000, 0.3245], [0.0000, 0.0000, 0.9967], [0.5000, 0.0000, 0.5217], [0.5000, 0.5000, 0.8238]],
  "total_magnetization_mub_per_cell": 1.237,
  "space_group": "Pmm2, No. 25",
  "delta_e_f_ev_per_atom": 0.166
}

=====

4.
{
  "formula": "PaCd3",
  "functional": "GGA-PBE",
  "state": "relaxed",
  "lattice_angstrom": [[3.1349, 0.0000, 0.0000], [-1.5674, 2.7149, 0.0000], [0.0000, 0.0000, 10.9057]],
  "species": ["Pa", "Cd", "Cd", "Cd"],
  "fractional_positions": [[0.6667, 0.3333, 0.5000], [0.3333, 0.6667, 0.0000], [0.0000, 0.0000, 0.7603], [0.0000, 0.0000, 0.2397]],
  "total_magnetization_mub_per_cell": 0.335,
  "space_group": "P-6m2, No. 187",
  "delta_e_f_ev_per_atom": 0.013
}

=====

5.
{
  "formula": "PaCd3",
  "functional": "GGA-PBE",
  "state": "relaxed",
  "lattice_angstrom": [[-1.8845, 2.0173, 4.3273], [-4.4423, -1.7200, 1.9115], [-0.0335, -2.7702, 4.3210]],
  "species": ["Pa", "Cd", "Cd", "Cd"],
  "fractional_positions": [[0.5000, 0.5000, 0.5000], [0.0000, 0.0000, 0.0000], [0.7500, 0.7500, 0.7500], [0.2500, 0.2500, 0.2500]],
  "total_magnetization_mub_per_cell": 1.265,
  "space_group": "Fm-3m, No. 225",
  "delta_e_f_ev_per_atom": 0.170
}

=====

6.
{
  "formula": "PaCd4",
  "functional": "GGA-PBE",
  "state": "relaxed",
  "lattice_angstrom": [[-6.1012, -0.2325, -0.2354], [0.2365, -6.1048, -0.1001], [-0.2314, -0.1091, 6.1049]],
  "species": ["Pa", "Cd", "Cd", "Cd", "Cd"],
  "fractional_positions": [[0.5000, 0.5000, 0.5000], [0.0000, 0.0000, 0.0000], [0.5000, 0.0000, 0.5000], [0.0000, 0.5000, 0.5000], [0.5000, 0.5000, 0.0000]],
  "total_magnetization_mub_per_cell": 2.925,
  "space_group": "Pm-3m, No. 221",
  "delta_e_f_ev_per_atom": 1.163
}

=====

7.
{
  "formula": "Pa2Cd",
  "functional": "GGA-PBE",
  "state": "relaxed",
  "lattice_angstrom": [[-1.0911, 2.5097, -1.5356], [-1.6316, -0.3976, -2.6508], [-8.0784, 0.2266, 3.3248]],
  "species": ["Pa", "Pa", "Cd"],
  "fractional_positions": [[0.2405, 0.2405, 0.3321], [0.7595, 0.7595, 0.6679], [0.0000, 0.0000, 0.0000]],
  "total_magnetization_mub_per_cell": 0.000,
  "space_group": "C2/m, No. 12",
  "delta_e_f_ev_per_atom": 0.066
}

=====

8.
{
  "formula": "Pa2Cd",
  "functional": "GGA-PBE",
  "state": "relaxed",
  "lattice_angstrom": [[-5.0539, 0.7288, 3.2152], [-5.3659, -0.0565, -2.7594], [-3.7591, -4.6505, 0.8076]],
  "species": ["Pa", "Pa", "Pa", "Pa", "Cd", "Cd"],
  "fractional_positions": [[0.1250, 0.6250, 0.6250], [0.6250, 0.1250, 0.6250], [0.6250, 0.6250, 0.6250], [0.6250, 0.6250, 0.1250], [0.0000, 0.0000, 0.0000], [0.2500, 0.2500, 0.2500]],
  "total_magnetization_mub_per_cell": 3.005,
  "space_group": "Fd-3m, No. 227",
  "delta_e_f_ev_per_atom": 0.409
}